(1)
Density functional theory data (PBE-GGA) for a geometry-optimized ScTa4Cl structure.

a = 5.6228 Å, b = 5.6228 Å, c = 5.6228 Å
α = 60.00°, β = 60.00°, γ = 60.00°
Last column: nearest neighbours and their distance in Å.
Element x y z (fractional)
1 Sc 0.0000 0.0000 0.0000  12 Ta 3.29, 4 Cl 3.44
2 Cl 0.7500 0.7500 0.7500  12 Ta 3.30, 4 Sc 3.44
3 Ta 0.3717 0.3717 0.8849  6 Ta 2.74-2.89
4 Ta 0.3717 0.8849 0.3717  6 Ta 2.74-2.89
5 Ta 0.3717 0.3717 0.3717  6 Ta 2.74-2.89
6 Ta 0.8849 0.3717 0.3717  6 Ta 2.74-2.89

The energy is -8.6453 eV/atom. Its calculated density is 10.62 g cm⁻³. The space group is No. 216. As for the uncorrected formation energy: 619 meV/atom. As for the crystal system: cubic.

(2)
Density functional theory data (PBE-GGA) for a geometry-optimized SnS3I structure.

a = 5.0334 Å, b = 5.0334 Å, c = 5.0334 Å
α = 90.00°, β = 90.00°, γ = 90.00°
Last column: nearest neighbours and their distance in Å.
Element x y z (fractional)
1 I 0.5000 0.5000 0.5000  12 S 3.56
2 S 0.0000 0.5000 0.0000  2 Sn 2.52
3 S 0.0000 0.0000 0.5000  2 Sn 2.52
4 S 0.5000 0.0000 0.0000  2 Sn 2.52
5 Sn 0.0000 0.0000 0.0000  6 S 2.52

The energy is -3.0438 eV/atom. As for the relative energy among the computed polymorphs: 0 meV/atom. Its calculated density is 4.45 g cm⁻³. The space group is No. 221. As for the uncorrected formation energy: 543 meV/atom. As for the crystal system: cubic.

(3)
Density functional theory data (PBE-GGA) for a geometry-optimized DyTm2TlC structure.

a = 4.9172 Å, b = 4.8402 Å, c = 4.8402 Å
α = 90.00°, β = 90.00°, γ = 90.00°
Last column: nearest neighbours and their distance in Å.
Element x y z (fractional)
1 Tm 0.0000 0.0000 0.5000  2 C 2.42
2 Tm 0.0000 0.5000 0.0000  2 C 2.42
3 Tl 0.5000 0.5000 0.5000  4 Dy 3.42, 8 Tm 3.45
4 Dy 0.5000 0.0000 0.0000  2 C 2.46
5 C 0.0000 0.0000 0.0000  4 Tm 2.42, 2 Dy 2.46

The energy is -5.5149 eV/atom. Its calculated density is 10.33 g cm⁻³. The space group is No. 123. As for the crystal system: tetragonal.

Number 1: calculated volume 125.70 Å³/cell. Number 2: calculated volume 127.52 Å³/cell. Number 3: calculated volume 115.20 Å³/cell.